The following is a SCAN calculation of a PBEsol-optimized structure of HfC3S, from Alexandria. Values from VASP.

Structure (Quantum ESPRESSO input):
```
&SYSTEM
  ibrav = 0, nat = 5, ntyp = 3
/
ATOMIC_SPECIES
Hf 178.49 Hf.upf
C 12.01 C.upf
S 32.06 S.upf
CELL_PARAMETERS angstrom
-4.0685 1.3036 -0.3204
-0.4024 -2.1598 -3.6780
-1.2807 -3.4627 2.1735
ATOMIC_POSITIONS crystal
Hf 0.0000 0.0000 0.0000
C 0.5000 0.0000 0.0000
C 0.0000 0.0000 0.5000
C 0.0000 0.5000 0.0000
S 0.5000 0.5000 0.5000
```

Calculated values
Uncorrected formation energy   2.59 eV/atom
DOS at the Fermi energy   3.2 states/eV/cell

***

The following is a SCAN calculation of a PBEsol-optimized structure of Y3GeSe, from Alexandria. Values from VASP.

Structure (Quantum ESPRESSO input):
```
&SYSTEM
  ibrav = 0, nat = 5, ntyp = 3
/
ATOMIC_SPECIES
Ge 72.64 Ge.upf
Y 88.91 Y.upf
Se 78.96 Se.upf
CELL_PARAMETERS angstrom
-2.9570 3.7636 2.0637
-4.0638 -1.6480 -2.8172
-1.3817 -3.2073 3.8693
ATOMIC_POSITIONS crystal
Ge 0.5000 0.5000 0.5000
Y 0.0000 0.0000 0.5000
Y 0.5000 0.0000 0.0000
Y 0.0000 0.5000 0.0000
Se 0.0000 0.0000 0.0000
```

Calculated values
Uncorrected formation energy   -0.55 eV/atom
DOS at the Fermi energy   4.0 states/eV/cell